a:
Density functional theory data (PBE+U) for crystalline LiFe2OF3 at its relaxed geometry. Values from VASP.

Results
mass density: 3.8 g/cm³
SG: Imm2

Quantum ESPRESSO input file:
```
&SYSTEM
  ibrav = 0, nat = 28, ntyp = 4
/
ATOMIC_SPECIES
O 16.00 O.upf
F 19.00 F.upf
Fe 55.84 Fe.upf
Li 6.94 Li.upf
ATOMIC_POSITIONS crystal
O 0.535 0.271 0.263
F 0.134 0.378 0.260
Fe 0.737 0.251 0.487
F 0.882 0.622 0.756
F 0.370 0.118 0.739
Fe 0.868 0.377 0.008
F 0.370 0.631 0.252
Li 0.281 0.137 0.144
F 0.968 0.241 0.727
Li 0.236 0.371 0.865
O 0.992 0.729 0.263
F 0.621 0.369 0.739
F 0.486 0.759 0.727
O 0.715 0.000 0.715
Fe 0.868 0.860 0.491
Fe 0.027 0.500 0.527
Fe 0.236 0.749 0.487
F 0.255 0.500 0.755
Fe 0.631 0.140 0.008
O 0.794 0.500 0.294
Li 0.494 0.629 0.865
F 0.882 0.126 0.260
Fe 0.474 0.000 0.474
F 0.250 0.000 0.250
F 0.621 0.882 0.252
F 0.134 0.874 0.756
Fe 0.631 0.623 0.491
Li 0.006 0.863 0.144
CELL_PARAMETERS angstrom
-3.039 4.385 6.315
3.039 -4.385 6.315
3.039 4.385 -6.315
```

---

b:
Density functional theory data (PBE+U) for crystalline LiFe2OF3 at its relaxed geometry. Values from VASP.

Results
mass density: 3.7 g/cm³
SG: R-3m

Quantum ESPRESSO input file:
```
&SYSTEM
  ibrav = 0, nat = 14, ntyp = 4
/
ATOMIC_SPECIES
F 19.00 F.upf
Fe 55.84 Fe.upf
O 16.00 O.upf
Li 6.94 Li.upf
ATOMIC_POSITIONS crystal
F 0.746 0.239 0.776
F 0.761 0.761 0.224
Fe 0.000 0.000 0.000
F 0.239 0.746 0.776
Fe 0.000 0.000 0.500
Fe 0.000 0.500 0.500
O 0.776 0.776 0.672
F 0.239 0.239 0.776
F 0.761 0.254 0.224
Fe 0.500 0.000 0.500
Li 0.355 0.355 0.936
O 0.224 0.224 0.328
F 0.254 0.761 0.224
Li 0.645 0.645 0.064
CELL_PARAMETERS angstrom
-1.237 -3.186 -5.160
-2.486 -5.655 0.376
-5.935 -0.893 -1.737
```

---

Which of them is most stable? Easy: a.

---

a:
Density functional theory data (PBE+U) for crystalline LiFeOF2 at its relaxed geometry. Values from VASP.

Results
mass density: 4.0 g/cm³
SG: P4/mmm

Quantum ESPRESSO input file:
```
&SYSTEM
  ibrav = 0, nat = 5, ntyp = 4
/
ATOMIC_SPECIES
F 19.00 F.upf
Li 6.94 Li.upf
Fe 55.84 Fe.upf
O 16.00 O.upf
ATOMIC_POSITIONS crystal
F 0.000 0.500 0.000
Li 0.000 0.000 0.000
Fe 0.500 0.500 0.500
F 0.500 0.000 0.000
O 0.000 0.000 0.500
CELL_PARAMETERS angstrom
-2.830 -1.807 -1.001
1.255 -0.155 -3.268
1.831 -3.345 0.862
```

---

b:
Density functional theory data (PBE+U) for crystalline LiFeOF2 at its relaxed geometry. Values from VASP.

Results
mass density: 3.4 g/cm³
SG: P6_3/mmc

Quantum ESPRESSO input file:
```
&SYSTEM
  ibrav = 0, nat = 10, ntyp = 4
/
ATOMIC_SPECIES
Fe 55.84 Fe.upf
F 19.00 F.upf
O 16.00 O.upf
Li 6.94 Li.upf
ATOMIC_POSITIONS crystal
Fe 0.667 0.333 0.750
F 0.333 0.667 0.416
O 0.000 0.000 0.250
F 0.667 0.333 0.584
F 0.333 0.667 0.084
Li 0.000 0.000 0.500
Li 0.000 0.000 0.000
F 0.667 0.333 0.916
O 0.000 0.000 0.750
Fe 0.333 0.667 0.250
CELL_PARAMETERS angstrom
3.334 0.000 0.000
-1.667 2.887 0.000
0.000 0.000 11.937
```

---

Which of them is most stable? Easy: b.

---

a:
Density functional theory data (PBE+U) for crystalline LiFeOF2 at its relaxed geometry. Values from VASP.

Results
mass density: 3.1 g/cm³
SG: P1

Quantum ESPRESSO input file:
```
&SYSTEM
  ibrav = 0, nat = 20, ntyp = 4
/
ATOMIC_SPECIES
F 19.00 F.upf
Li 6.94 Li.upf
O 16.00 O.upf
Fe 55.84 Fe.upf
ATOMIC_POSITIONS crystal
F 0.213 0.454 0.997
Li 0.196 0.729 0.333
O 0.691 0.078 0.119
O 0.774 0.118 0.750
Li 0.095 0.362 0.490
F 0.832 0.714 0.365
F 0.493 0.596 0.779
O 0.230 0.379 0.286
F 0.200 0.895 0.166
F 0.712 0.344 0.498
O 0.537 0.106 0.829
F 0.361 0.742 0.529
F 0.088 0.920 0.915
Fe 0.569 0.318 0.279
F 0.137 0.108 0.587
Fe 0.423 0.845 0.955
Li 0.169 0.244 0.801
Fe 0.741 0.775 0.592
Fe 0.054 0.153 0.110
Li 0.485 0.121 0.620
CELL_PARAMETERS angstrom
-5.451 0.240 -0.041
2.386 4.957 -0.239
-0.439 -2.427 -8.883
```

---

b:
Density functional theory data (PBE+U) for crystalline LiFeOF2 at its relaxed geometry. Values from VASP.

Results
mass density: 3.6 g/cm³
SG: P1

Quantum ESPRESSO input file:
```
&SYSTEM
  ibrav = 0, nat = 20, ntyp = 4
/
ATOMIC_SPECIES
F 19.00 F.upf
O 16.00 O.upf
Li 6.94 Li.upf
Fe 55.84 Fe.upf
ATOMIC_POSITIONS crystal
F 0.555 0.116 0.611
F 0.252 0.264 0.481
O 0.065 0.008 0.221
F 0.247 0.806 0.963
F 0.767 0.732 0.539
O 0.533 0.631 0.107
Li 0.881 0.123 0.429
Fe 0.132 0.328 0.097
F 0.937 0.968 0.783
O 0.764 0.242 0.044
F 0.422 0.370 0.881
Fe 0.373 0.893 0.163
F 0.417 0.856 0.376
Li 0.646 0.608 0.323
O 0.041 0.552 0.727
F 0.950 0.466 0.279
Fe 0.839 0.602 0.929
Li 0.350 0.418 0.676
Li 0.674 0.141 0.787
Fe 0.154 0.876 0.583
CELL_PARAMETERS angstrom
-3.366 -3.000 2.489
4.593 1.472 2.720
-4.488 5.265 6.170
```

---

c:
Density functional theory data (PBE+U) for crystalline LiFeOF2 at its relaxed geometry. Values from VASP.

Results
mass density: 3.1 g/cm³
SG: P4/mmm

Quantum ESPRESSO input file:
```
&SYSTEM
  ibrav = 0, nat = 5, ntyp = 4
/
ATOMIC_SPECIES
F 19.00 F.upf
O 16.00 O.upf
Li 6.94 Li.upf
Fe 55.84 Fe.upf
ATOMIC_POSITIONS crystal
F 0.000 0.500 0.000
O 0.000 0.000 0.500
F 0.500 0.000 0.000
Li 0.500 0.500 0.500
Fe 0.000 0.000 0.000
CELL_PARAMETERS angstrom
4.043 0.000 0.000
0.000 4.043 0.000
0.000 0.000 3.780
```

---

Which of them is most stable? Easy: b.

---

a:
Density functional theory data (PBE+U) for crystalline Li3Fe3OF7 at its relaxed geometry. Values from VASP.

Results
mass density: 3.4 g/cm³
SG: Pm

Quantum ESPRESSO input file:
```
&SYSTEM
  ibrav = 0, nat = 14, ntyp = 4
/
ATOMIC_SPECIES
F 19.00 F.upf
Li 6.94 Li.upf
Fe 55.84 Fe.upf
O 16.00 O.upf
ATOMIC_POSITIONS crystal
F 0.000 0.743 0.952
F 0.500 0.745 0.700
Li 0.000 0.489 0.648
F 0.500 0.307 0.537
Fe 0.000 0.017 0.130
Li 0.500 0.943 0.542
Fe 0.500 0.974 0.861
F 0.000 0.747 0.469
O 0.500 0.181 0.029
F 0.500 0.798 0.229
F 0.000 0.298 0.289
Fe 0.500 0.514 0.367
Li 0.000 0.391 0.963
F 0.000 0.228 0.786
CELL_PARAMETERS angstrom
3.134 0.000 0.000
0.000 5.137 -0.001
0.000 0.038 10.229
```

---

b:
Density functional theory data (PBE+U) for crystalline Li3Fe3OF7 at its relaxed geometry. Values from VASP.

Results
mass density: 3.5 g/cm³
SG: Cm

Quantum ESPRESSO input file:
```
&SYSTEM
  ibrav = 0, nat = 14, ntyp = 4
/
ATOMIC_SPECIES
F 19.00 F.upf
Li 6.94 Li.upf
Fe 55.84 Fe.upf
O 16.00 O.upf
ATOMIC_POSITIONS crystal
F 0.608 0.608 0.663
Li 0.369 0.369 0.892
F 0.607 0.114 0.134
Fe 0.413 0.846 0.363
F 0.134 0.134 0.584
F 0.138 0.138 0.117
Li 0.381 0.381 0.345
F 0.625 0.157 0.613
F 0.157 0.625 0.613
F 0.114 0.607 0.134
Li 0.006 0.006 0.993
Fe 0.846 0.413 0.363
Fe 0.751 0.751 0.788
O 0.601 0.601 0.150
CELL_PARAMETERS angstrom
-0.405 -1.404 -5.943
4.577 0.881 -3.966
3.116 -4.905 -2.185
```

---

Which of them is most stable? Easy: a.

---

a:
Density functional theory data (PBE+U) for crystalline Li2FeOF3 at its relaxed geometry. Values from VASP.

Results
mass density: 3.1 g/cm³
SG: C2/m

Quantum ESPRESSO input file:
```
&SYSTEM
  ibrav = 0, nat = 14, ntyp = 4
/
ATOMIC_SPECIES
O 16.00 O.upf
Fe 55.84 Fe.upf
F 19.00 F.upf
Li 6.94 Li.upf
ATOMIC_POSITIONS crystal
O 0.696 0.756 0.244
Fe 0.500 0.500 0.000
F 0.745 0.249 0.226
F 0.751 0.247 0.753
Li 0.093 0.624 0.376
Li 0.000 0.000 0.000
Li 0.907 0.376 0.624
Fe 0.500 0.000 0.500
F 0.255 0.751 0.774
O 0.304 0.244 0.756
F 0.249 0.753 0.247
F 0.255 0.226 0.249
F 0.745 0.774 0.751
Li 0.500 0.000 0.000
CELL_PARAMETERS angstrom
5.952 0.001 0.000
2.887 5.202 0.007
-2.887 -1.762 4.895
```

---

b:
Density functional theory data (PBE+U) for crystalline Li2FeOF3 at its relaxed geometry. Values from VASP.

Results
mass density: 3.2 g/cm³
SG: Cm

Quantum ESPRESSO input file:
```
&SYSTEM
  ibrav = 0, nat = 14, ntyp = 4
/
ATOMIC_SPECIES
F 19.00 F.upf
Li 6.94 Li.upf
Fe 55.84 Fe.upf
O 16.00 O.upf
ATOMIC_POSITIONS crystal
F 0.755 0.509 0.748
F 0.252 0.503 0.247
Li 0.503 0.482 0.486
Fe 0.991 0.982 0.002
Li 0.986 0.973 0.483
Li 0.633 0.265 0.901
F 0.762 0.524 0.281
F 0.226 0.991 0.765
F 0.248 0.496 0.735
Fe 0.390 0.781 0.121
F 0.765 0.991 0.765
O 0.774 0.011 0.239
Li 0.979 0.482 0.486
O 0.237 0.011 0.239
CELL_PARAMETERS angstrom
-5.190 -1.594 2.047
4.788 -3.277 1.365
-0.642 5.317 2.513
```

---

c:
Density functional theory data (PBE+U) for crystalline Li2FeOF3 at its relaxed geometry. Values from VASP.

Results
mass density: 3.1 g/cm³
SG: P4_1

Quantum ESPRESSO input file:
```
&SYSTEM
  ibrav = 0, nat = 28, ntyp = 4
/
ATOMIC_SPECIES
O 16.00 O.upf
F 19.00 F.upf
Li 6.94 Li.upf
Fe 55.84 Fe.upf
ATOMIC_POSITIONS crystal
O 0.757 0.975 0.486
F 0.241 0.528 0.497
F 0.509 0.245 0.244
F 0.987 0.753 0.263
Li 0.498 0.257 0.997
F 0.528 0.759 0.247
Li 0.743 0.498 0.247
F 0.759 0.472 0.997
F 0.247 0.987 0.513
Li 0.763 0.743 0.872
Li 0.257 0.502 0.747
Fe 0.249 0.984 0.766
Fe 0.016 0.249 0.016
Li 0.237 0.257 0.372
F 0.491 0.755 0.744
F 0.472 0.241 0.747
Li 0.257 0.763 0.122
F 0.753 0.013 0.013
O 0.975 0.243 0.236
Fe 0.751 0.016 0.266
F 0.013 0.247 0.763
Fe 0.984 0.751 0.516
F 0.755 0.509 0.494
Li 0.502 0.743 0.497
O 0.025 0.757 0.736
Li 0.743 0.237 0.622
F 0.245 0.491 0.994
O 0.243 0.025 0.986
CELL_PARAMETERS angstrom
-2.830 -5.217 0.635
4.682 -2.176 2.994
-3.419 2.748 7.343
```

---

Which of them is most stable? Easy: c.

---

a:
Density functional theory data (PBE+U) for crystalline Li3Fe4O3F5 at its relaxed geometry. Values from VASP.

Results
mass density: 4.0 g/cm³
SG: P1

Quantum ESPRESSO input file:
```
&SYSTEM
  ibrav = 0, nat = 15, ntyp = 4
/
ATOMIC_SPECIES
Fe 55.84 Fe.upf
Li 6.94 Li.upf
O 16.00 O.upf
F 19.00 F.upf
ATOMIC_POSITIONS crystal
Fe 0.487 0.506 0.010
Li 0.483 0.974 0.008
O 0.271 0.505 0.266
F 0.723 0.967 0.279
O 0.223 0.000 0.238
O 0.780 0.999 0.765
Fe 0.008 0.017 0.492
F 0.270 0.519 0.734
Li 0.494 0.501 0.492
Li 0.497 0.002 0.494
F 0.286 0.033 0.731
Fe 0.014 0.503 0.483
F 0.729 0.491 0.738
F 0.735 0.482 0.270
Fe 0.001 0.001 0.001
CELL_PARAMETERS angstrom
6.090 0.056 0.063
-2.814 5.291 -0.083
0.271 3.548 4.976
```

---

b:
Density functional theory data (PBE+U) for crystalline Li3Fe4O3F5 at its relaxed geometry. Values from VASP.

Results
mass density: 3.7 g/cm³
SG: P1

Quantum ESPRESSO input file:
```
&SYSTEM
  ibrav = 0, nat = 15, ntyp = 4
/
ATOMIC_SPECIES
Li 6.94 Li.upf
F 19.00 F.upf
Fe 55.84 Fe.upf
O 16.00 O.upf
ATOMIC_POSITIONS crystal
Li 0.017 0.486 0.523
F 0.700 0.695 0.259
Li 0.504 0.394 0.380
F 0.794 0.255 0.747
Fe 0.081 0.024 0.986
O 0.172 0.226 0.319
O 0.834 0.779 0.737
Fe 0.487 0.963 0.541
F 0.333 0.274 0.743
O 0.276 0.768 0.780
Li 0.961 0.557 0.010
Fe 0.497 0.748 0.936
F 0.654 0.145 0.271
F 0.191 0.690 0.253
Fe 0.998 0.996 0.516
CELL_PARAMETERS angstrom
-4.838 -0.825 -3.905
-0.367 -1.549 5.991
-2.241 5.284 -1.802
```

---

c:
Density functional theory data (PBE+U) for crystalline Li3Fe4O3F5 at its relaxed geometry. Values from VASP.

Results
mass density: 3.8 g/cm³
SG: P1

Quantum ESPRESSO input file:
```
&SYSTEM
  ibrav = 0, nat = 15, ntyp = 4
/
ATOMIC_SPECIES
F 19.00 F.upf
Li 6.94 Li.upf
O 16.00 O.upf
Fe 55.84 Fe.upf
ATOMIC_POSITIONS crystal
F 0.751 0.997 0.248
Li 0.056 0.577 0.026
F 0.219 0.494 0.762
O 0.242 0.007 0.736
Fe 0.483 0.490 0.988
F 0.754 0.492 0.229
O 0.183 0.023 0.241
F 0.743 0.437 0.720
Li 0.006 0.996 0.494
Fe 0.004 0.002 0.971
F 0.259 0.563 0.260
O 0.759 0.936 0.717
Fe 0.502 0.460 0.468
Li 0.529 0.007 0.637
Fe 0.009 0.518 0.504
CELL_PARAMETERS angstrom
6.616 0.035 -0.139
-3.198 5.099 -0.200
-0.167 -3.598 5.156
```

---

Which of them is most stable? Easy: a.

---

a:
Density functional theory data (PBE+U) for crystalline Li5Fe3O2F10 at its relaxed geometry. Values from VASP.

Results
mass density: 3.3 g/cm³
SG: P1

Quantum ESPRESSO input file:
```
&SYSTEM
  ibrav = 0, nat = 20, ntyp = 4
/
ATOMIC_SPECIES
F 19.00 F.upf
Li 6.94 Li.upf
Fe 55.84 Fe.upf
O 16.00 O.upf
ATOMIC_POSITIONS crystal
F 0.746 0.724 0.525
F 0.242 0.802 0.973
Li 0.126 0.845 0.581
Li 0.677 0.122 0.826
F 0.444 0.383 0.872
Li 0.436 0.932 0.165
F 0.054 0.534 0.724
F 0.917 0.436 0.297
Fe 0.841 0.617 0.930
F 0.060 0.046 0.224
Fe 0.824 0.090 0.436
F 0.216 0.263 0.471
F 0.573 0.128 0.622
Fe 0.162 0.398 0.075
F 0.452 0.884 0.380
O 0.543 0.626 0.110
O 0.802 0.269 0.024
F 0.946 0.955 0.779
Li 0.337 0.371 0.674
Li 0.603 0.574 0.312
CELL_PARAMETERS angstrom
-4.080 1.501 -2.744
-0.942 -3.521 4.184
-4.438 6.154 5.058
```

---

b:
Density functional theory data (PBE+U) for crystalline Li5Fe3O2F10 at its relaxed geometry. Values from VASP.

Results
mass density: 2.9 g/cm³
SG: P1

Quantum ESPRESSO input file:
```
&SYSTEM
  ibrav = 0, nat = 20, ntyp = 4
/
ATOMIC_SPECIES
Li 6.94 Li.upf
F 19.00 F.upf
Fe 55.84 Fe.upf
O 16.00 O.upf
ATOMIC_POSITIONS crystal
Li 0.507 0.661 0.778
F 0.665 0.854 0.397
Li 0.488 0.264 0.585
F 0.287 0.044 0.427
Li 0.898 0.272 0.727
Fe 0.283 0.725 0.490
F 0.922 0.882 0.864
Fe 0.905 0.574 0.981
O 0.122 0.441 0.901
F 0.523 0.954 0.658
F 0.892 0.548 0.589
F 0.282 0.430 0.609
Fe 0.230 0.211 0.998
Li 0.523 0.740 0.193
O 0.570 0.463 0.103
Li 0.042 0.146 0.332
F 0.263 0.883 0.067
F 0.557 0.332 0.835
F 0.907 0.068 0.141
F 0.134 0.508 0.324
CELL_PARAMETERS angstrom
5.301 -0.235 -0.001
-3.001 4.968 1.008
-0.002 -1.354 9.145
```

---

Which of them is most stable? Easy: a.